[1]
DFT (PBE) results for a relaxed SrInBi4 crystal.

Lattice parameters (Å, degrees): 6.667 6.667 6.667 60.00 60.00 60.00
Sites, in units of the cell vectors:
Bi 0.626 0.626 0.121
In 0.000 0.000 0.000
Bi 0.626 0.626 0.626
Bi 0.626 0.121 0.626
Sr 0.250 0.250 0.250
Bi 0.121 0.626 0.626

Output
Space group = F-43m
Energy relative to the elements = -1.0 eV/f.u.

[2]
DFT (PBE) results for a relaxed La2I3 crystal.

Lattice parameters (Å, degrees): 7.518 7.518 9.358 66.32 66.32 60.00
Sites, in units of the cell vectors:
I 0.407 0.093 0.750
La 0.330 0.330 0.011
La 0.170 0.170 0.489
La 0.670 0.670 0.989
I 0.093 0.750 0.750
I 0.750 0.407 0.750
La 0.830 0.830 0.511
I 0.907 0.250 0.250
I 0.593 0.907 0.250
I 0.250 0.593 0.250

Output
Space group = R-3c
Uncorrected formation energy = -25.8 kcal/mol of atoms

[3]
DFT (PBE) results for a relaxed SrLiNpO6 crystal.

Lattice parameters (Å, degrees): 5.229 5.229 10.263 90.00 90.00 90.00
Sites, in units of the cell vectors:
Sr 0.500 0.500 0.507
O 0.735 0.735 0.676
O 0.235 0.765 0.176
Np 0.000 0.000 0.663
Li 0.500 0.500 0.850
O 0.190 0.810 0.799
O 0.310 0.310 0.299
O 0.170 0.830 0.515
Sr 0.000 0.000 0.007
Li 0.000 0.000 0.350
O 0.810 0.190 0.799
O 0.765 0.235 0.176
O 0.265 0.265 0.676
Np 0.500 0.500 0.163
O 0.690 0.690 0.299
O 0.670 0.670 0.015
O 0.830 0.170 0.515
O 0.330 0.330 0.015

Output
Space group = P4_2nm
Uncorrected formation energy = -47.8 kcal/mol of atoms

[4]
DFT (PBE) results for a relaxed Li3Pm2AgGe4 crystal.

Lattice parameters (Å, degrees): 4.223 4.223 10.622 90.00 90.00 90.00
Sites, in units of the cell vectors:
Li 0.500 0.000 0.874
Ge 0.000 0.500 0.354
Li 0.000 0.000 0.500
Li 0.000 0.500 0.126
Ge 0.500 0.500 0.000
Ag 0.500 0.500 0.500
Ge 0.000 0.000 0.000
Pm 0.500 0.000 0.239
Pm 0.000 0.500 0.761
Ge 0.500 0.000 0.646

Output
Space group = P-4m2
Energy relative to the elements = -5.1 eV/f.u.

[5]
DFT (PBE) results for a relaxed Rb3LiTh3Se8 crystal.

Lattice parameters (Å, degrees): 8.651 8.650 9.485 117.13 90.00 120.01
Sites, in units of the cell vectors:
Th 0.000 0.500 0.500
Se 0.720 0.955 0.690
Rb 0.000 0.500 0.000
Li 0.000 0.000 0.500
Th 0.500 0.500 0.500
Th 0.500 0.000 0.500
Rb 0.000 0.000 0.000
Se 0.765 0.045 0.310
Se 0.765 0.530 0.310
Se 0.235 0.470 0.690
Se 0.265 0.531 0.296
Se 0.235 0.955 0.690
Se 0.280 0.045 0.310
Se 0.735 0.469 0.704
Rb 0.500 0.500 0.000

Output
Space group = R-3m
Uncorrected formation energy = -36.1 kcal/mol of atoms

[6]
DFT (PBE) results for a relaxed TbPmSn6 crystal.

Lattice parameters (Å, degrees): 4.735 4.735 9.509 90.00 90.00 90.00
Sites, in units of the cell vectors:
Sn 0.000 0.500 0.253
Sn 0.500 0.000 0.747
Sn 0.000 0.500 0.747
Tb 0.000 0.000 0.500
Sn 0.500 0.500 0.500
Sn 0.500 0.500 0.000
Sn 0.500 0.000 0.253
Pm 0.000 0.000 0.000

Output
Space group = P4/mmm
Energy relative to the elements = -3.7 eV/f.u.